[1]
Material: Zr2Cd
Method: DFT, PBE
State: relaxed

It has space group Imma (No. 74), with a = 3.132 Å, b = 4.558 Å, c = 20.287 Å, α = 90.00°, β = 90.00° and γ = 90.00°. The asymmetric unit holds Zr at (0.000, 0.250, 0.048), Zr at (0.000, 0.250, 0.189) and Cd at (0.000, 0.250, 0.613).

The density of states at the Fermi level comes out at 2.79 states/eV/f.u. The value obtained for the calculated total energy is -0.2114 Ha/atom. As for the formation energy: 72 kJ/mol of formula units. The value obtained for the total magnetization is 0.0 μB/cell.

[2]
Material: Zr5Cd
Method: DFT, PBE
State: relaxed

It has space group P4/mmm (No. 123), with a = 3.168 Å, b = 3.168 Å, c = 13.650 Å, α = 90.00°, β = 90.00° and γ = 90.00°. The asymmetric unit holds Zr at (0.000, 0.000, 0.000), Zr at (0.000, 0.000, 0.334), Zr at (0.500, 0.500, 0.167) and Cd at (0.500, 0.500, 0.500).

The density of states at the Fermi level comes out at 7.13 states/eV/f.u. The value obtained for the calculated total energy is -0.2687 Ha/atom. As for the formation energy: -21 kJ/mol of formula units. The value obtained for the total magnetization is 0.0 μB/cell. The value obtained for the energy relative to the lowest polymorph listed for this composition is 0 meV/atom.

[3]
Material: ZrCd3
Method: DFT, PBE
State: relaxed

It has space group Pm-3n (No. 223), with a = 5.672 Å, b = 5.672 Å, c = 5.672 Å, α = 90.00°, β = 90.00° and γ = 90.00°. The asymmetric unit holds Zr at (0.000, 0.000, 0.000) and Cd at (0.000, 0.250, 0.500).

The density of states at the Fermi level comes out at 3.57 states/eV/f.u. The value obtained for the calculated total energy is -0.0967 Ha/atom. As for the formation energy: 74 kJ/mol of formula units. The value obtained for the total magnetization is 0.6 μB/cell.